[1]
Here is a relaxed structure of CrHgSe2I from Alexandria. Energies are from PBE.

Summary:
The volume comes out at 31.3 A^3/atom. As for the density of states at the Fermi level: 6.55 states/eV per cell. As for the symmetry: P4/mmm. The total magnetization is 0.6908 μB/atom. The energy comes out at -14.5 eV/f.u.

a b c (Å): 5.178 5.840 5.178
angles (deg): 90.00 90.00 90.00
Site moments in Bohr magnetons follow the coordinates.
Element x y z (fractional)
I: 0.500 0.500 0.500  0.30
Cr: 0.000 0.500 0.000  -4.19
Hg: 0.000 0.000 0.000  -0.01
Se: 0.000 0.000 0.500  0.28
Se: 0.500 0.000 0.000  0.31



[2]
Here is a relaxed structure of SrCrHgI2 from Alexandria. Energies are from PBE.

Summary:
The volume comes out at 54.3 A^3/atom. As for the density of states at the Fermi level: 23.75 states/eV per cell. As for the symmetry: P4/mmm. The total magnetization is 1.2000 μB/atom. The energy comes out at -15.1 eV/f.u.

a b c (Å): 6.305 6.305 6.828
angles (deg): 90.00 90.00 90.00
Site moments in Bohr magnetons follow the coordinates.
Element x y z (fractional)
I: 0.000 0.500 0.000  0.03
I: 0.500 0.000 0.000  0.03
Sr: 0.000 0.000 0.000  0.01
Hg: 0.000 0.000 0.500  0.03
Cr: 0.500 0.500 0.500  4.54



Look up the energy of the first one.
-14.5 eV/f.u.



Which value of density of states at the Fermi level does entry 2 give?
23.75 states/eV per cell



energy of number 2 (SrCrHgI2)?
-15.1 eV/f.u.